Entry 1:
{"formula": "TiCSe2Br", "functional": "SCAN", "state": "PBEsol geometry", "lattice": [[4.8563, 0.0000, 0.0000], [0.0000, 4.8563, 0.0000], [0.0000, 0.0000, 4.9633]], "species": ["Ti", "C", "Se", "Se", "Br"], "frac_coords": [[0.0000, 0.0000, 0.0000], [0.5000, 0.5000, 0.5000], [0.0000, 0.5000, 0.0000], [0.5000, 0.0000, 0.0000], [0.0000, 0.0000, 0.5000]], "sg": "No. 123"}

=====

Entry 2:
{"formula": "YCSeBr2", "functional": "SCAN", "state": "PBEsol geometry", "lattice": [[4.6196, 0.0000, 0.0000], [0.0000, 4.6196, 0.0000], [0.0000, 0.0000, 4.5362]], "species": ["Y", "C", "Se", "Br", "Br"], "frac_coords": [[0.0000, 0.0000, 0.0000], [0.5000, 0.5000, 0.5000], [0.5000, 0.5000, 0.0000], [0.0000, 0.5000, 0.5000], [0.5000, 0.0000, 0.5000]], "sg": "No. 123"}

=====

Entry 3:
{"formula": "ZrCSeBr2", "functional": "SCAN", "state": "PBEsol geometry", "lattice": [[4.4960, 0.0000, 0.0000], [0.0000, 4.4960, 0.0000], [0.0000, 0.0000, 4.4545]], "species": ["Zr", "C", "Se", "Br", "Br"], "frac_coords": [[0.0000, 0.0000, 0.0000], [0.5000, 0.5000, 0.5000], [0.5000, 0.5000, 0.0000], [0.0000, 0.5000, 0.5000], [0.5000, 0.0000, 0.5000]], "sg": "No. 123"}

=====

Entry 4:
{"formula": "SiC2Br", "functional": "SCAN", "state": "PBEsol geometry", "lattice": [[5.1012, 0.0000, 0.0000], [0.0000, 5.1012, 0.0000], [0.0000, 0.0000, 8.5228]], "species": ["Si", "Si", "Si", "Si", "C", "C", "C", "C", "C", "C", "C", "C", "Br", "Br", "Br", "Br"], "frac_coords": [[0.0000, 0.0000, 0.0000], [0.0000, 0.5000, 0.2500], [0.5000, 0.0000, 0.7500], [0.5000, 0.5000, 0.5000], [0.1565, 0.7500, 0.1250], [0.2500, 0.1565, 0.8750], [0.2500, 0.3435, 0.3750], [0.3435, 0.7500, 0.6250], [0.6565, 0.2500, 0.6250], [0.7500, 0.6565, 0.3750], [0.7500, 0.8435, 0.8750], [0.8435, 0.2500, 0.1250], [0.0000, 0.0000, 0.5000], [0.0000, 0.5000, 0.7500], [0.5000, 0.0000, 0.2500], [0.5000, 0.5000, 0.0000]], "sg": "No. 122"}

=====

The following E_tot values (in eV per atom) correspond, in order, to the records above: -16.265, -19.174, -19.126, -10.898.
The following ΔE_f (raw) values (in meV per atom) correspond, in order, to the records above: 884, 214, 833, 1521.